[1]
Material: LiPaTlSn
Method: DFT, GGA-PBE
State: optimized geometry

a = 5.183 Å, b = 5.183 Å, c = 5.183 Å
α = 60.00°, β = 60.00°, γ = 60.00°
Atoms (fractional coordinates):
Li (0.000, 0.000, 0.000)
Pa (0.500, 0.500, 0.500)
Tl (0.250, 0.250, 0.250)
Sn (0.750, 0.750, 0.750)

Results
Electronic total energy: -4.470 eV/atom
Crystal system: cubic
N(E_F): 4.34 states/eV/f.u.
Calculated formation energy: -0.025 eV per atom
Space-group type: F-43m (216)

[2]
Material: LiPaZnSn
Method: DFT, GGA-PBE
State: optimized geometry

a = 4.989 Å, b = 4.989 Å, c = 4.989 Å
α = 60.00°, β = 60.00°, γ = 60.00°
Atoms (fractional coordinates):
Li (0.000, 0.000, 0.000)
Pa (0.500, 0.500, 0.500)
Zn (0.750, 0.750, 0.750)
Sn (0.250, 0.250, 0.250)

Results
Electronic total energy: -4.227 eV/atom
Crystal system: cubic
N(E_F): 5.87 states/eV/f.u.
Calculated formation energy: -0.055 eV per atom
Space-group type: F-43m (216)